Record 1
TaSbTe2: relaxed, PBE.

Structure (CIF):
```
data_TaSbTe2
_chemical_formula_sum 'Ta2 Sb2 Te4'
_cell_length_a 6.024
_cell_length_b 9.230
_cell_length_c 4.277
_cell_angle_alpha 90.00
_cell_angle_beta 120.26
_cell_angle_gamma 90.00
_symmetry_space_group_name_H-M 'C 1 2/m 1'
_symmetry_Int_Tables_number 12
loop_
_symmetry_equiv_pos_as_xyz
'x,y,z'
'-x,-y,-z'
'-x,y,-z'
'x,-y,z'
'x+1/2,y+1/2,z'
'-x+1/2,-y+1/2,-z'
'-x+1/2,y+1/2,-z'
'x+1/2,-y+1/2,z'
loop_
_atom_site_label
_atom_site_fract_x
_atom_site_fract_y
_atom_site_fract_z
_atom_site_occupancy
Ta1 0.000 0.000 0.000 1
Sb1 0.000 0.500 0.000 1
Te1 0.250 0.250 0.500 1
```

Output
- raw formation energy (eV/atom) = 0.542

Record 2
SiRhO3: relaxed, PBE.

Structure (CIF):
```
data_SiRhO3
_chemical_formula_sum 'Si1 Rh1 O3'
_cell_length_a 3.564
_cell_length_b 3.564
_cell_length_c 3.564
_cell_angle_alpha 90.00
_cell_angle_beta 90.00
_cell_angle_gamma 90.00
_symmetry_space_group_name_H-M 'P m -3 m'
_symmetry_Int_Tables_number 221
_symmetry_space_group_name_Hall '-P 4 2 3'
loop_
_atom_site_label
_atom_site_fract_x
_atom_site_fract_y
_atom_site_fract_z
_atom_site_occupancy
Si1 0.000 0.000 0.000 1
Rh1 0.500 0.500 0.500 1
O1 0.000 0.000 0.500 1
```

Output
- raw formation energy (eV/atom) = -1.057

Record 3
BaLaBi2: relaxed, PBE.

Structure (CIF):
```
data_BaLaBi2
_chemical_formula_sum 'Ba4 La4 Bi8'
_cell_length_a 8.371
_cell_length_b 8.371
_cell_length_c 8.371
_cell_angle_alpha 90.00
_cell_angle_beta 90.00
_cell_angle_gamma 90.00
_symmetry_space_group_name_H-M 'F m -3 m'
_symmetry_Int_Tables_number 225
_symmetry_space_group_name_Hall '-F 4 2 3'
loop_
_atom_site_label
_atom_site_fract_x
_atom_site_fract_y
_atom_site_fract_z
_atom_site_occupancy
Ba1 0.000 0.000 0.000 1
La1 0.000 0.000 0.500 1
Bi1 0.250 0.250 0.250 1
```

Output
- E_form (eV/atom) = -0.7433
- energy relative to the lowest polymorph listed for this composition (meV/atom) = 114.5

The size of the total moment results, record by record, are as follows: 0.001 0.600 0.000 μB/atom.
The raw total energy results, record by record, are as follows: -40.2 -32.9 -70.3 eV per cell.